Density functional theory data (PBE) for a relaxed structure of In2HgBiPb4.

Structure (POSCAR):
```
In2HgBiPb4
1.0
-4.5023 4.5049 6.3572
4.5023 -4.5049 6.3572
4.5023 4.5049 -6.3572
In Hg Bi Pb
4 2 2 8
direct
0.0000 0.0000 0.0000 In
0.5000 0.0000 0.0000 In
0.5000 0.0000 0.5000 In
0.5000 0.5000 0.5000 In
0.0000 0.5000 0.5000 Hg
0.5000 0.5000 0.0000 Hg
0.0000 0.0000 0.5000 Bi
0.0000 0.5000 0.0000 Bi
0.2530 0.2441 0.4911 Pb
0.2530 0.7618 0.0089 Pb
0.2557 0.2493 0.0063 Pb
0.2570 0.7507 0.5063 Pb
0.7430 0.2493 0.4937 Pb
0.7443 0.7507 0.9937 Pb
0.7470 0.2382 0.9911 Pb
0.7470 0.7559 0.5089 Pb
```

Raw total energy ... -2.93 eV/atom
Energy of formation from the pure elements ... 130 meV per atom
Crystal system ... orthorhombic
SG ... Imma